# 1
Computed, not measured: an optimized crystal structure of Rb8Hg3O2 at the GGA-PBE level of DFT.

Values from the calculation:
Formation energy from raw total energies ... -0.4782 eV/atom
N(E_F) ... 6.51 states/eV/cell

a b c (Å): 7.6234 8.0600 10.1506
angles (deg): 113.39 102.06 90.00
With the nearest neighbours (Å) after each atom.
Fractional positions:
Rb1 0.2354 0.4026 0.8052  1 O 2.86
Rb2 0.7646 0.5974 0.1948  1 O 2.86
Rb3 0.9882 0.8062 0.6125  1 O 2.71
Rb4 0.0118 0.1938 0.3875  1 O 2.71
Rb5 0.4063 0.9122 0.3192  2 O 2.83-2.93
Rb6 0.4063 0.4070 0.3192  2 O 2.83-2.93
Rb7 0.5937 0.5930 0.6808  2 O 2.83-2.93
Rb8 0.5937 0.0878 0.6808  2 O 2.83-2.93
Hg1 0.5000 0.0000 0.0000  4 Rb 3.78, 4 Hg 4.10
Hg2 0.0000 0.1871 0.0000  1 Hg 3.02
Hg3 0.0000 0.8129 0.0000  1 Hg 3.02
O1 0.6396 0.7310 0.4621  6 Rb 2.71-2.93
O2 0.3604 0.2690 0.5379  6 Rb 2.71-2.93

=====

# 2
Computed, not measured: an optimized crystal structure of Rb8HgO2 at the GGA-PBE level of DFT.

Values from the calculation:
Formation energy from raw total energies ... -0.5082 eV/atom
N(E_F) ... 6.57 states/eV/cell
ΔE to the lowest computed polymorph ... 27.6 meV per atom

a b c (Å): 8.1194 9.6175 9.6175
angles (deg): 78.78 86.08 86.08
With the nearest neighbours (Å) after each atom.
Fractional positions:
Rb1 0.7253 0.0357 0.6919  1 O 2.57
Rb2 0.2747 0.3081 0.9643  1 O 2.57
Rb3 0.6833 0.2056 0.2056  1 O 2.55
Rb4 0.3167 0.7944 0.7944  1 O 2.55
Rb5 0.7253 0.6919 0.0357  1 O 2.57
Rb6 0.2747 0.9643 0.3081  1 O 2.57
Rb7 0.2392 0.3809 0.3809  1 O 2.55
Rb8 0.7608 0.6191 0.6191  1 O 2.55
Hg1 0.0000 0.0000 0.0000  6 Rb 3.78-3.82
O1 0.3678 0.2181 0.2181  4 Rb 2.55-2.57
O2 0.6322 0.7819 0.7819  4 Rb 2.55-2.57

=====

# 3
Computed, not measured: an optimized crystal structure of Rb2HgO at the GGA-PBE level of DFT.

Values from the calculation:
Formation energy from raw total energies ... -0.6930 eV/atom
N(E_F) ... 5.47 states/eV/cell
ΔE to the lowest computed polymorph ... 18.4 meV per atom

a b c (Å): 4.1768 4.1768 9.6766
angles (deg): 77.54 77.54 60.00
With the nearest neighbours (Å) after each atom.
Fractional positions:
Rb1 0.0489 0.0489 0.8534  3 O 2.78
Rb2 0.2842 0.2842 0.1475  3 O 2.78
Hg1 0.5006 0.5006 0.4983  6 Rb 4.08-4.11, 6 Hg 4.18
O1 0.6664 0.6664 0.0008  6 Rb 2.78

=====

# 4
Computed, not measured: an optimized crystal structure of Rb2HgO3 at the GGA-PBE level of DFT.

Values from the calculation:
Formation energy from raw total energies ... -0.4837 eV/atom
N(E_F) ... 2.18 states/eV/cell

a b c (Å): 6.8694 6.8694 8.3555
angles (deg): 90.00 90.00 120.00
With the nearest neighbours (Å) after each atom.
Fractional positions:
Rb1 0.0000 0.0000 0.0000  6 O 2.85
Rb2 0.6667 0.3333 0.2503  6 O 3.43
Rb3 0.0000 0.0000 0.5000  6 O 2.85
Rb4 0.3333 0.6667 0.7497  6 O 3.43
Hg1 0.3333 0.6667 0.2500  3 O 2.02
Hg2 0.6667 0.3333 0.7500  3 O 2.02
O1 0.1633 0.3266 0.2501  1 Hg 2.02
O2 0.6734 0.8367 0.2501  1 Hg 2.02
O3 0.1633 0.8367 0.2501  1 Hg 2.02
O4 0.8367 0.6734 0.7499  1 Hg 2.02
O5 0.8367 0.1633 0.7499  1 Hg 2.02
O6 0.3266 0.1633 0.7499  1 Hg 2.02

=====

# 5
Computed, not measured: an optimized crystal structure of RbHgO at the GGA-PBE level of DFT.

Values from the calculation:
Formation energy from raw total energies ... -0.6157 eV/atom
N(E_F) ... 3.52 states/eV/cell
ΔE to the lowest computed polymorph ... 21.5 meV per atom

a b c (Å): 3.7827 5.6038 7.2419
angles (deg): 90.00 105.16 90.00
With the nearest neighbours (Å) after each atom.
Fractional positions:
O1 0.6572 0.7500 0.8133  2 Hg 2.33
O2 0.3428 0.2500 0.1867  2 Hg 2.33
Rb1 0.6819 0.2500 0.8648  4 O 2.82-2.94
Rb2 0.3181 0.7500 0.1352  4 O 2.82-2.94
Hg1 0.9400 0.2500 0.3805  2 O 2.33
Hg2 0.0600 0.7500 0.6195  2 O 2.33

=====

# 6
Computed, not measured: an optimized crystal structure of Rb2HgO at the GGA-PBE level of DFT.

Values from the calculation:
Formation energy from raw total energies ... -0.5903 eV/atom
N(E_F) ... 0.00 states/eV/cell
ΔE to the lowest computed polymorph ... 121.1 meV per atom

a b c (Å): 8.5945 8.5945 7.3023
angles (deg): 53.95 53.95 90.00
With the nearest neighbours (Å) after each atom.
Fractional positions:
O1 0.5000 0.5000 0.0000  4 Rb 2.67
O2 0.2500 0.7500 0.5000  4 Rb 2.67
Hg1 0.0000 0.0000 0.0000  8 Rb 3.89-3.91, 2 O 4.05
Hg2 0.7500 0.2500 0.5000  8 Rb 3.89-3.91, 2 O 4.05
Rb1 0.5171 0.1250 0.2500  2 O 2.67
Rb2 0.2329 0.6250 0.2500  2 O 2.67
Rb3 0.3750 0.4829 0.7500  2 O 2.67
Rb4 0.8750 0.7671 0.7500  2 O 2.67